The following is a PBE calculation of a relaxed structure of Ca2CuCl, from Alexandria via LeMat-Bulk.

## Properties
final energy: -3.24 eV per atom
density: 3.06 g/cm3
polymorph energy (0 for the lowest one): 76 meV/atom
E_form (uncorrected): -758 meV per atom

abc: 3.551 3.551 7.720
angles: 90.00 90.00 89.90
Fractional coordinates of all 4 atoms:
Ca  0.000  0.000  0.528
Ca  0.000  0.000  0.972
Cu  0.500  0.500  0.750
Cl  0.500  0.500  0.250